A plane-wave DFT calculation with GGA-PBE was carried out for an optimized crystal structure of Dy3Y2.

Geometry as CIF:
```
data_Dy3Y2
_chemical_formula_sum 'Dy6 Y4'
_cell_length_a 11.605
_cell_length_b 11.605
_cell_length_c 5.469
_cell_angle_alpha 98.46
_cell_angle_beta 98.46
_cell_angle_gamma 146.33
_space_group_name_H-M_alt 'P 1'
_space_group_IT_number 1
_space_group_name_Hall 'P 1'
loop_
_atom_site_label
_atom_site_fract_x
_atom_site_fract_y
_atom_site_fract_z
Dy1 0.064 0.289 0.338
Dy2 0.214 0.214 0.881
Dy3 0.289 0.064 0.338
Dy4 0.711 0.936 0.662
Dy5 0.786 0.786 0.119
Dy6 0.936 0.711 0.662
Y1 0.000 0.500 0.000
Y2 0.370 0.630 0.000
Y3 0.500 0.000 0.000
Y4 0.630 0.370 0.000
```

Raw total energy   -4.93 eV/atom
Total magnetization   0.000 μB/atom
Energy of formation   415 meV/atom
SG   C2/m (12)